The following is a GGA-PBE calculation of an optimized crystal structure of Dy3Pu2Te8, from Alexandria.

a = 15.679 Å, b = 8.594 Å, c = 7.464 Å
α = 90.00°, β = 108.11°, γ = 90.00°
Space group C2/m (No. 12)
Symmetry-distinct sites (fractional):
Dy  0.000  0.000  0.000 (multiplicity 2)
Dy  0.000  0.254  0.500 (multiplicity 4)
Pu  0.249  0.500  0.169 (multiplicity 4)
Te  0.112  0.500  0.384 (multiplicity 4)
Te  0.120  0.250  0.912 (multiplicity 8)
Te  0.121  0.000  0.413 (multiplicity 4)

Output
Total energy in eV/atom: -6.290
Raw formation energy in eV per atom: -1.090
V in Å³ per cell: 956
Fermi-level density of states in states/eV per cell: 62.24